(1)
Here is a geometry-optimized MgSiW structure from Alexandria. Energies are from PBE.

The density comes out at 8.05 g/cm3. The value obtained for the raw formation energy is 0.11 eV/f.u.

The structure belongs to space group C2/m (No. 12); the cell edges are 9.083, 3.299 and 6.730 Å and the angles 90.00°, 104.98° and 90.00°. Symmetry generates all atoms from Mg at (0.155, 0.000, 0.073), Si at (0.031, 0.500, 0.314) and W at (0.164, 0.000, 0.604).



(2)
Here is a geometry-optimized TcTe2 structure from Alexandria. Energies are from PBE.

The density comes out at 6.43 g/cm3. The value obtained for the raw formation energy is 0.27 eV/f.u.

The structure belongs to space group Cm (No. 8); the cell edges are 14.608, 3.295 and 8.374 Å and the angles 90.00°, 115.10° and 90.00°. Symmetry generates all atoms from Tc at (0.000, 0.000, 0.000), Tc at (0.128, 0.500, 0.351), Te at (0.157, 0.500, 0.062), Te at (0.172, 0.000, 0.611), Te at (0.409, 0.000, 0.728) and Te at (0.436, 0.000, 0.198).